[1]
VASP calculation (PBE-GGA) on HfFe3Rh after structural relaxation. Values from VASP.

Calculated values
Its crystal system is cubic. Its theoretical density is 8.9 g/cm3. As for the energy of formation from the pure elements: 1.2858 eV per atom. The polymorph energy (0 for the lowest one) comes out at 0.000 eV per atom. The density of states at the Fermi level is 2.192 states/eV/atom.

Cell and atoms, written as Quantum ESPRESSO input:
```
&SYSTEM
  ibrav = 0, nat = 5, ntyp = 3
/
ATOMIC_SPECIES
Rh 102.91 Rh.upf
Hf 178.49 Hf.upf
Fe 55.84 Fe.upf
ATOMIC_POSITIONS crystal
Rh 0.0000 0.0000 0.0000
Hf 0.5000 0.5000 0.5000
Fe 0.0000 0.5000 0.0000
Fe 0.0000 0.0000 0.5000
Fe 0.5000 0.0000 0.0000
CELL_PARAMETERS angstrom
-2.7411 -2.5655 2.2453
0.5049 -3.1547 -2.9882
3.3716 -1.6132 2.2729
```

***

[2]
VASP calculation (PBE-GGA) on Hf6FeRh2 after structural relaxation. Values from VASP.

Calculated values
Its crystal system is monoclinic. Its theoretical density is 12.8 g/cm3. As for the energy of formation from the pure elements: -0.3656 eV per atom. The density of states at the Fermi level is 0.855 states/eV/atom.

Cell and atoms, written as Quantum ESPRESSO input:
```
&SYSTEM
  ibrav = 0, nat = 18, ntyp = 3
/
ATOMIC_SPECIES
Hf 178.49 Hf.upf
Fe 55.84 Fe.upf
Rh 102.91 Rh.upf
ATOMIC_POSITIONS crystal
Hf 0.8388 0.9464 0.2508
Hf 0.8432 0.6529 0.5438
Hf 0.8562 0.7148 0.9421
Hf 0.6438 0.2148 0.5579
Hf 0.6568 0.1529 0.9562
Hf 0.6612 0.4464 0.2492
Hf 0.1612 0.0536 0.7492
Hf 0.1568 0.3471 0.4562
Hf 0.1438 0.2852 0.0579
Hf 0.3562 0.7852 0.4421
Hf 0.3432 0.8471 0.0438
Hf 0.3388 0.5536 0.7508
Fe 0.5000 0.5000 0.0000
Fe 0.0000 0.0000 0.5000
Rh 0.8787 0.4036 0.7783
Rh 0.6213 0.9036 0.7217
Rh 0.3787 0.0964 0.2783
Rh 0.1213 0.5964 0.2217
CELL_PARAMETERS angstrom
-0.4274 4.3982 3.2155
-6.9830 -0.8317 0.2095
0.8386 -5.1940 7.3333
```

***

[3]
VASP calculation (PBE-GGA) on Hf8Fe2Rh after structural relaxation. Values from VASP.

Calculated values
Its crystal system is monoclinic. Its theoretical density is 12.7 g/cm3. As for the energy of formation from the pure elements: -0.1598 eV per atom. The density of states at the Fermi level is 1.008 states/eV/atom.

Cell and atoms, written as Quantum ESPRESSO input:
```
&SYSTEM
  ibrav = 0, nat = 11, ntyp = 3
/
ATOMIC_SPECIES
Hf 178.49 Hf.upf
Fe 55.84 Fe.upf
Rh 102.91 Rh.upf
ATOMIC_POSITIONS crystal
Hf 0.3492 0.3593 0.8556
Hf 0.6508 0.1444 0.6407
Hf 0.1200 0.7946 0.7946
Hf 0.8800 0.2054 0.2054
Hf 0.3492 0.8556 0.3593
Hf 0.6508 0.6407 0.1444
Hf 0.8594 0.5902 0.5902
Hf 0.1406 0.4098 0.4098
Fe 0.6083 0.7365 0.7365
Fe 0.3917 0.2635 0.2635
Rh 0.0000 0.0000 0.0000
CELL_PARAMETERS angstrom
5.5059 -0.0566 -0.0429
0.0216 7.1121 1.7722
0.0216 3.6218 6.3722
```

***

[4]
VASP calculation (PBE-GGA) on Hf5Fe4Rh after structural relaxation. Values from VASP.

Calculated values
Its crystal system is tetragonal. Its theoretical density is 12.8 g/cm3. As for the energy of formation from the pure elements: -0.4337 eV per atom. The density of states at the Fermi level is 0.604 states/eV/atom.

Cell and atoms, written as Quantum ESPRESSO input:
```
&SYSTEM
  ibrav = 0, nat = 10, ntyp = 3
/
ATOMIC_SPECIES
Hf 178.49 Hf.upf
Fe 55.84 Fe.upf
Rh 102.91 Rh.upf
ATOMIC_POSITIONS crystal
Hf 0.5000 0.5000 0.1071
Hf 0.5000 0.5000 0.3032
Hf 0.5000 0.5000 0.5000
Hf 0.5000 0.5000 0.6968
Hf 0.5000 0.5000 0.8929
Fe 0.0000 0.0000 0.2019
Fe 0.0000 0.0000 0.4011
Fe 0.0000 0.0000 0.5989
Fe 0.0000 0.0000 0.7981
Rh 0.0000 0.0000 0.0000
CELL_PARAMETERS angstrom
3.1643 0.0000 0.0000
0.0000 3.1643 0.0000
0.0000 0.0000 15.8507
```

***

[5]
VASP calculation (PBE-GGA) on HfScFeRh after structural relaxation. Values from VASP.

Calculated values
Its crystal system is tetragonal. Its theoretical density is 9.8 g/cm3. As for the energy of formation from the pure elements: -0.6228 eV per atom. The density of states at the Fermi level is 0.508 states/eV/atom.

Cell and atoms, written as Quantum ESPRESSO input:
```
&SYSTEM
  ibrav = 0, nat = 4, ntyp = 4
/
ATOMIC_SPECIES
Hf 178.49 Hf.upf
Sc 44.96 Sc.upf
Fe 55.84 Fe.upf
Rh 102.91 Rh.upf
ATOMIC_POSITIONS crystal
Hf 0.0000 0.0000 0.3445
Sc 0.0000 0.0000 0.8653
Fe 0.5000 0.5000 0.1153
Rh 0.5000 0.5000 0.6028
CELL_PARAMETERS angstrom
3.1821 0.0000 0.0000
0.0000 3.1821 0.0000
0.0000 0.0000 6.4022
```

***

[6]
VASP calculation (PBE-GGA) on TbHfFeRh after structural relaxation. Values from VASP.

Calculated values
Its crystal system is cubic. Its theoretical density is 11.5 g/cm3. As for the energy of formation from the pure elements: -0.3855 eV per atom. The density of states at the Fermi level is 0.610 states/eV/atom.

Cell and atoms, written as Quantum ESPRESSO input:
```
&SYSTEM
  ibrav = 0, nat = 4, ntyp = 4
/
ATOMIC_SPECIES
Tb 158.93 Tb.upf
Hf 178.49 Hf.upf
Fe 55.84 Fe.upf
Rh 102.91 Rh.upf
ATOMIC_POSITIONS crystal
Tb 0.7500 0.7500 0.7500
Hf 0.2500 0.2500 0.2500
Fe 0.0000 0.0000 0.0000
Rh 0.5000 0.5000 0.5000
CELL_PARAMETERS angstrom
-4.3551 0.8424 1.4227
-3.5235 -2.5697 -1.6379
-2.1656 -3.0340 2.7939
```

***

[7]
VASP calculation (PBE-GGA) on HfFe2TcRh after structural relaxation. Values from VASP.

Calculated values
Its crystal system is tetragonal. Its theoretical density is 8.6 g/cm3. As for the energy of formation from the pure elements: 1.5906 eV per atom. The density of states at the Fermi level is 1.312 states/eV/atom.

Cell and atoms, written as Quantum ESPRESSO input:
```
&SYSTEM
  ibrav = 0, nat = 5, ntyp = 4
/
ATOMIC_SPECIES
Rh 102.91 Rh.upf
Hf 178.49 Hf.upf
Tc 98.00 Tc.upf
Fe 55.84 Fe.upf
ATOMIC_POSITIONS crystal
Rh 0.0000 0.5000 0.0000
Hf 0.0000 0.0000 0.0000
Tc 0.5000 0.5000 0.5000
Fe 0.0000 0.0000 0.5000
Fe 0.5000 0.0000 0.0000
CELL_PARAMETERS angstrom
4.5149 0.0000 0.0000
0.0000 4.6750 0.0000
0.0000 0.0000 4.5149
```

***

[8]
VASP calculation (PBE-GGA) on TmHfFeRh after structural relaxation. Values from VASP.

Calculated values
Its crystal system is cubic. Its theoretical density is 12.1 g/cm3. As for the energy of formation from the pure elements: -0.4858 eV per atom. The density of states at the Fermi level is 0.407 states/eV/atom.

Cell and atoms, written as Quantum ESPRESSO input:
```
&SYSTEM
  ibrav = 0, nat = 4, ntyp = 4
/
ATOMIC_SPECIES
Rh 102.91 Rh.upf
Tm 168.93 Tm.upf
Hf 178.49 Hf.upf
Fe 55.84 Fe.upf
ATOMIC_POSITIONS crystal
Rh 0.2500 0.2500 0.2500
Tm 0.5000 0.5000 0.5000
Hf 0.0000 0.0000 0.0000
Fe 0.7500 0.7500 0.7500
CELL_PARAMETERS angstrom
-3.0384 0.2451 3.4633
-3.3068 -3.1926 0.3980
0.1643 -3.0757 3.4350
```